TbPuU2As4 GGA-PBE relaxed; calculated formation energy = -0.984 eV/atom; SG = P2/m (10); total magnetic moment = 5.3 μB/f.u.; uncorrected energy = -68.0 eV per cell
1.0
4.078 0.000 0.000
0.000 7.157 0.158
0.000 -2.468 6.667
Tb Pu U As
1 1 2 4
Direct
0.500 0.500 0.000
0.000 0.000 0.000
0.500 0.000 0.500
0.000 0.500 0.500
0.500 0.252 0.255
0.500 0.748 0.745
0.000 0.249 0.745
0.000 0.751 0.255